A relaxed Be2Fe crystal. Source: Alexandria, functional PBE-GGA.

Computed properties:
* distance to the lowest polymorph of the same formula: 0.331 eV/atom
* ΔE_f: 0.045 eV per atom

a = 2.3878 Å, b = 2.3878 Å, c = 5.6529 Å
α = 90.00°, β = 90.00°, γ = 120.00°
Positions (direct):
Be 0.3333 0.6667 0.3341
Be 0.6667 0.3333 0.6659
Fe 0.0000 0.0000 0.0000